A relaxed HfPd5 crystal, computed with GGA-PBE.

The structure in POSCAR format:
```
HfPd5
1.0
4.520 0.000 0.000
0.000 4.452 2.570
0.000 -4.452 2.570
Hf Pd
1 5
Direct
0.000 0.000 0.000 Hf
0.000 0.667 0.333 Pd
0.500 0.500 0.000 Pd
0.000 0.333 0.667 Pd
0.500 0.500 0.500 Pd
0.500 0.000 0.500 Pd
```

ΔE_f   -5.29 kcal/mol of atoms
Relative energy among the computed polymorphs   2.201 eV/f.u.
Raw total energy   -37.2 eV/cell

---

A relaxed TmMg2ZrAu4 crystal, computed with GGA-PBE.

The structure in POSCAR format:
```
TmMg2ZrAu4
1.0
-3.606 -0.487 3.135
-1.432 -3.986 -2.265
4.000 -3.723 4.022
Zr Au Tm Mg
1 4 1 2
Direct
0.500 0.500 0.500 Zr
0.500 0.000 0.259 Au
0.500 0.000 0.741 Au
0.000 0.500 0.741 Au
0.000 0.500 0.259 Au
0.000 0.000 0.000 Tm
0.500 0.500 0.000 Mg
0.000 0.000 0.500 Mg
```

Raw total energy   -34.8 eV/cell

---

A relaxed NaHoMgSe3 crystal, computed with GGA-PBE.

The structure in POSCAR format:
```
NaHoMgSe3
1.0
13.977 0.000 0.000
0.000 4.156 0.000
0.000 0.000 11.233
Ho Se Mg Na
4 12 4 4
Direct
0.976 0.250 0.151 Ho
0.024 0.750 0.849 Ho
0.476 0.250 0.349 Ho
0.524 0.750 0.651 Ho
0.104 0.750 0.077 Se
0.896 0.250 0.923 Se
0.644 0.250 0.745 Se
0.604 0.750 0.423 Se
0.356 0.750 0.255 Se
0.856 0.750 0.245 Se
0.093 0.250 0.386 Se
0.407 0.750 0.886 Se
0.907 0.750 0.614 Se
0.144 0.250 0.755 Se
0.396 0.250 0.577 Se
0.593 0.250 0.114 Se
0.014 0.250 0.599 Mg
0.986 0.750 0.401 Mg
0.486 0.750 0.099 Mg
0.514 0.250 0.901 Mg
0.743 0.750 0.917 Na
0.257 0.250 0.083 Na
0.757 0.250 0.417 Na
0.243 0.750 0.583 Na
```

Relative energy among the computed polymorphs   0.098 eV/f.u.
Raw total energy   -106.7 eV/cell

---

A relaxed CoSiHg crystal, computed with GGA-PBE.

The structure in POSCAR format:
```
CoSiHg
1.0
0.000 2.928 2.928
2.928 0.000 2.928
2.928 2.928 0.000
Si Co Hg
1 1 1
Direct
0.750 0.750 0.750 Si
0.000 0.000 0.000 Co
0.250 0.250 0.250 Hg
```

Relative energy among the computed polymorphs   0.000 eV/f.u.
Raw total energy   -11.9 eV/cell

---

A relaxed PrErSbI2 crystal, computed with GGA-PBE.

The structure in POSCAR format:
```
PrErSbI2
1.0
4.394 0.000 0.000
-2.197 3.805 0.000
0.000 0.000 11.373
Er I Sb Pr
1 2 1 1
Direct
0.333 0.667 0.848 Er
0.667 0.333 0.681 I
0.333 0.667 0.332 I
0.000 0.000 0.988 Sb
0.667 0.333 0.151 Pr
```

Raw total energy   -22.9 eV/cell

---

A relaxed Fe7Pt6 crystal, computed with GGA-PBE.

The structure in POSCAR format:
```
Fe7Pt6
1.0
7.990 0.000 0.000
0.000 9.165 0.000
0.000 0.000 4.847
Fe Pt
14 12
Direct
0.162 0.685 0.745 Fe
0.662 0.815 0.745 Fe
0.412 0.743 0.000 Fe
0.338 0.185 0.255 Fe
0.162 0.685 0.255 Fe
0.838 0.315 0.745 Fe
0.838 0.315 0.255 Fe
0.088 0.243 0.000 Fe
0.000 0.500 0.000 Fe
0.338 0.185 0.745 Fe
0.588 0.257 0.000 Fe
0.500 0.000 0.000 Fe
0.662 0.815 0.255 Fe
0.912 0.757 0.000 Fe
0.168 0.954 0.000 Pt
0.350 0.918 0.500 Pt
0.650 0.082 0.500 Pt
0.832 0.046 0.000 Pt
0.332 0.454 0.000 Pt
0.952 0.867 0.500 Pt
0.668 0.546 0.000 Pt
0.452 0.633 0.500 Pt
0.548 0.367 0.500 Pt
0.850 0.582 0.500 Pt
0.150 0.418 0.500 Pt
0.048 0.133 0.500 Pt
```

ΔE_f   -2.88 kcal/mol of atoms
Relative energy among the computed polymorphs   0.219 eV/f.u.
Raw total energy   -192.2 eV/cell

---

A relaxed MgSiAgAu crystal, computed with GGA-PBE.

The structure in POSCAR format:
```
MgSiAgAu
1.0
-2.064 -4.034 0.763
0.138 -1.896 4.183
-3.807 -0.183 2.566
Au Si Ag Mg
1 1 1 1
Direct
0.750 0.750 0.750 Au
0.000 0.000 0.000 Si
0.250 0.250 0.250 Ag
0.500 0.500 0.500 Mg
```

Relative energy among the computed polymorphs   0.000 eV/f.u.
Raw total energy   -13.4 eV/cell

---

A relaxed ZrTaBi crystal, computed with GGA-PBE.

The structure in POSCAR format:
```
ZrTaBi
1.0
-0.190 -4.796 -0.380
-3.686 -2.423 1.929
-3.284 -2.060 -2.855
Ta Bi Zr
1 1 1
Direct
0.000 0.000 0.000 Ta
0.250 0.250 0.250 Bi
0.750 0.750 0.750 Zr
```

Raw total energy   -22.2 eV/cell

---

A relaxed Tl2ReAgBr6 crystal, computed with GGA-PBE.

The structure in POSCAR format:
```
Tl2ReAgBr6
1.0
0.000 5.349 5.349
5.349 0.000 5.349
5.349 5.349 0.000
Ag Br Re Tl
1 6 1 2
Direct
0.000 0.000 0.000 Ag
0.262 0.738 0.262 Br
0.262 0.262 0.738 Br
0.738 0.738 0.262 Br
0.738 0.262 0.262 Br
0.738 0.262 0.738 Br
0.262 0.738 0.738 Br
0.500 0.500 0.500 Re
0.750 0.750 0.750 Tl
0.250 0.250 0.250 Tl
```

Raw total energy   -33.5 eV/cell

---

A relaxed HfF crystal, computed with GGA-PBE.

The structure in POSCAR format:
```
HfF
1.0
0.537 0.546 3.467
1.302 3.105 1.127
-2.082 2.255 1.786
F Hf
1 1
Direct
0.000 0.000 0.000 F
0.250 0.250 0.250 Hf
```

Relative energy among the computed polymorphs   0.000 eV/f.u.
Raw total energy   -14.6 eV/cell

---

A relaxed Er2Pt crystal, computed with GGA-PBE.

The structure in POSCAR format:
```
Er2Pt
1.0
0.000 4.101 4.101
4.101 0.000 4.101
4.101 4.101 0.000
Er Pt
4 2
Direct
0.625 0.625 0.625 Er
0.125 0.625 0.625 Er
0.625 0.625 0.125 Er
0.625 0.125 0.625 Er
0.250 0.250 0.250 Pt
0.000 0.000 0.000 Pt
```

ΔE_f   6.31 kcal/mol of atoms
Raw total energy   -28.7 eV/cell

---

A relaxed MgScGaNi crystal, computed with GGA-PBE.

The structure in POSCAR format:
```
MgScGaNi
1.0
0.544 -4.315 -1.102
-2.174 -3.190 2.286
-3.354 -2.260 -1.942
Mg Ga Sc Ni
1 1 1 1
Direct
0.500 0.500 0.500 Mg
0.000 0.000 0.000 Ga
0.250 0.250 0.250 Sc
0.750 0.750 0.750 Ni
```

Relative energy among the computed polymorphs   0.361 eV/f.u.
Raw total energy   -17.7 eV/cell

---

A relaxed RbPaCu crystal, computed with GGA-PBE.

The structure in POSCAR format:
```
RbPaCu
1.0
0.000 3.608 3.608
3.608 0.000 3.608
3.608 3.608 0.000
Rb Cu Pa
1 1 1
Direct
0.750 0.750 0.750 Rb
0.000 0.000 0.000 Cu
0.250 0.250 0.250 Pa
```

Relative energy among the computed polymorphs   0.000 eV/f.u.
Raw total energy   -9.9 eV/cell

---

A relaxed Y4Ta2In3C3 crystal, computed with GGA-PBE.

The structure in POSCAR format:
```
Y4Ta2In3C3
1.0
-2.742 5.355 0.109
-5.166 0.762 -2.990
-4.950 -6.374 13.321
In C Ta Y
6 6 4 8
Direct
0.865 0.135 0.750 In
0.702 0.582 0.246 In
0.298 0.418 0.754 In
0.135 0.865 0.250 In
0.418 0.298 0.254 In
0.582 0.702 0.746 In
0.500 0.000 0.500 C
0.354 0.792 0.000 C
0.792 0.354 0.500 C
0.000 0.500 0.000 C
0.208 0.646 0.500 C
0.646 0.208 0.000 C
0.346 0.524 0.069 Ta
0.654 0.476 0.931 Ta
0.524 0.346 0.569 Ta
0.476 0.654 0.431 Ta
0.302 0.121 0.907 Y
0.813 0.956 0.407 Y
0.879 0.698 0.593 Y
0.187 0.044 0.593 Y
0.698 0.879 0.093 Y
0.044 0.187 0.093 Y
0.121 0.302 0.407 Y
0.956 0.813 0.907 Y
```

Raw total energy   -182.2 eV/cell

---

A relaxed HfTlCdFe crystal, computed with GGA-PBE.

The structure in POSCAR format:
```
HfTlCdFe
1.0
1.341 0.063 4.581
-3.297 0.120 3.451
-0.718 -3.836 2.750
Cd Fe Hf Tl
1 1 1 1
Direct
0.500 0.500 0.500 Cd
0.750 0.750 0.750 Fe
0.250 0.250 0.250 Hf
0.000 0.000 0.000 Tl
```

Relative energy among the computed polymorphs   0.091 eV/f.u.
Raw total energy   -20.0 eV/cell

---

A relaxed MgNbFeGe crystal, computed with GGA-PBE.

The structure in POSCAR format:
```
MgNbFeGe
1.0
0.000 3.094 3.094
3.094 0.000 3.094
3.094 3.094 0.000
Ge Fe Nb Mg
1 1 1 1
Direct
0.000 0.000 0.000 Ge
0.750 0.750 0.750 Fe
0.500 0.500 0.500 Nb
0.250 0.250 0.250 Mg
```

Relative energy among the computed polymorphs   0.000 eV/f.u.
Raw total energy   -24.0 eV/cell

---

A relaxed CsYZrTe3 crystal, computed with GGA-PBE.

The structure in POSCAR format:
```
CsYZrTe3
1.0
2.292 -8.746 0.000
2.292 8.746 0.000
0.000 0.000 11.526
Cs Te Y Zr
2 6 2 2
Direct
0.748 0.252 0.750 Cs
0.252 0.748 0.250 Cs
0.619 0.381 0.450 Te
0.931 0.069 0.250 Te
0.619 0.381 0.050 Te
0.069 0.931 0.750 Te
0.381 0.619 0.950 Te
0.381 0.619 0.550 Te
0.000 0.000 0.500 Y
0.000 0.000 0.000 Y
0.473 0.527 0.750 Zr
0.527 0.473 0.250 Zr
```

Relative energy among the computed polymorphs   0.000 eV/f.u.
Raw total energy   -63.4 eV/cell

---

A relaxed CsNpMo crystal, computed with GGA-PBE.

The structure in POSCAR format:
```
CsNpMo
1.0
3.873 -2.111 1.671
4.222 1.022 -1.837
3.132 2.469 2.518
Mo Cs Np
1 1 1
Direct
0.750 0.750 0.750 Mo
0.000 0.000 0.000 Cs
0.250 0.250 0.250 Np
```

Raw total energy   -16.8 eV/cell

---

A relaxed KHg4F12 crystal, computed with GGA-PBE.

The structure in POSCAR format:
```
KHg4F12
1.0
-1.539 -6.799 -0.909
-4.528 2.837 4.568
-0.475 3.354 -6.160
Hg F K
4 12 1
Direct
0.500 0.500 0.500 Hg
0.500 0.000 0.000 Hg
0.000 0.500 0.000 Hg
0.000 0.000 0.500 Hg
0.699 0.867 0.168 F
0.531 0.832 0.699 F
0.699 0.531 0.832 F
0.469 0.168 0.301 F
0.301 0.133 0.832 F
0.832 0.699 0.531 F
0.168 0.699 0.867 F
0.867 0.168 0.699 F
0.301 0.469 0.168 F
0.168 0.301 0.469 F
0.133 0.832 0.301 F
0.832 0.301 0.133 F
0.000 0.000 0.000 K
```

Raw total energy   -47.3 eV/cell

---

A relaxed Nb2Ni3Pd3 crystal, computed with GGA-PBE.

The structure in POSCAR format:
```
Nb2Ni3Pd3
1.0
2.335 1.348 6.276
-2.335 1.348 6.276
0.000 -2.696 6.276
Nb Pd Ni
2 3 3
Direct
0.784 0.784 0.784 Nb
0.216 0.216 0.216 Nb
0.500 0.500 0.500 Pd
0.076 0.076 0.076 Pd
0.924 0.924 0.924 Pd
0.500 0.500 0.000 Ni
0.500 0.000 0.500 Ni
0.000 0.500 0.500 Ni
```

ΔE_f   -0.30 kcal/mol of atoms
Raw total energy   -52.5 eV/cell

---

A relaxed NdSmAsO crystal, computed with GGA-PBE.

The structure in POSCAR format:
```
NdSmAsO
1.0
-0.140 -0.327 -4.283
-0.079 -7.831 0.600
-6.098 0.076 0.193
Sm O Nd As
2 2 2 2
Direct
0.500 0.110 0.510 Sm
0.500 0.890 0.010 Sm
0.500 0.830 0.377 O
0.500 0.170 0.877 O
0.000 0.298 0.937 Nd
0.000 0.702 0.437 Nd
0.000 0.667 0.931 As
0.000 0.333 0.431 As
```

Relative energy among the computed polymorphs   0.000 eV/f.u.
Raw total energy   -53.6 eV/cell

---

A relaxed LuAl2Ge crystal, computed with GGA-PBE.

The structure in POSCAR format:
```
LuAl2Ge
1.0
0.000 3.408 3.408
3.408 0.000 3.408
3.408 3.408 0.000
Al Lu Ge
2 1 1
Direct
0.250 0.250 0.250 Al
0.000 0.000 0.000 Al
0.500 0.500 0.500 Lu
0.750 0.750 0.750 Ge
```

Raw total energy   -17.0 eV/cell

---

A relaxed PrP2Ir5 crystal, computed with GGA-PBE.

The structure in POSCAR format:
```
PrP2Ir5
1.0
-1.994 3.441 4.694
1.994 -3.441 4.694
1.994 3.441 -4.694
Ir P Pr
5 2 1
Direct
0.851 0.648 0.203 Ir
0.149 0.352 0.797 Ir
0.446 0.648 0.797 Ir
0.554 0.352 0.203 Ir
0.500 0.000 0.500 Ir
0.254 0.754 0.500 P
0.746 0.246 0.500 P
0.000 0.000 0.000 Pr
```

Raw total energy   -65.0 eV/cell

---

A relaxed CsGdI3 crystal, computed with GGA-PBE.

The structure in POSCAR format:
```
CsGdI3
1.0
6.122 0.000 0.000
0.000 6.122 0.000
0.000 0.000 6.122
I Gd Cs
3 1 1
Direct
0.000 0.500 0.500 I
0.500 0.000 0.500 I
0.500 0.500 0.000 I
0.500 0.500 0.500 Gd
0.000 0.000 0.000 Cs
```

Raw total energy   -16.5 eV/cell